No. 1
Density functional theory data (GGA-PBE) for LiCeTa2N4 after structural relaxation.

```
data_LiCeTa2N4
_cell_length_a 5.510
_cell_length_b 5.510
_cell_length_c 10.621
_cell_angle_alpha 90.00
_cell_angle_beta 90.00
_cell_angle_gamma 145.91
_space_group_name_H-M_alt 'P 1'
_space_group_IT_number 1
loop_
_space_group_symop_operation_xyz
'x,y,z'
loop_
_atom_site_label
_atom_site_fract_x
_atom_site_fract_y
_atom_site_fract_z
_atom_site_occupancy
Li1 0.163 0.837 0.750 1
Li2 0.837 0.163 0.250 1
Ce1 0.108 0.892 0.250 1
Ce2 0.892 0.108 0.750 1
Ta1 0.375 0.625 0.054 1
Ta2 0.375 0.625 0.446 1
Ta3 0.625 0.375 0.554 1
Ta4 0.625 0.375 0.946 1
N1 0.000 0.000 0.000 1
N2 0.000 0.000 0.500 1
N3 0.265 0.735 0.609 1
N4 0.265 0.735 0.891 1
N5 0.432 0.568 0.250 1
N6 0.568 0.432 0.750 1
N7 0.735 0.265 0.109 1
N8 0.735 0.265 0.391 1
```

Calculated values
- DFT total energy (eV/atom) = -9.28
- ΔE_f (raw) (eV/atom) = -1.172
- DOS(E_F) (states/eV/f.u.) = 5.48


No. 2
Density functional theory data (GGA-PBE) for Li2CeTcN4 after structural relaxation.

```
data_Li2CeTcN4
_cell_length_a 7.516
_cell_length_b 5.436
_cell_length_c 5.119
_cell_angle_alpha 90.00
_cell_angle_beta 90.00
_cell_angle_gamma 90.00
_space_group_name_H-M_alt 'P 1'
_space_group_IT_number 1
loop_
_space_group_symop_operation_xyz
'x,y,z'
loop_
_atom_site_label
_atom_site_fract_x
_atom_site_fract_y
_atom_site_fract_z
_atom_site_occupancy
Li1 0.250 0.188 0.000 1
Li2 0.250 0.812 0.500 1
Li3 0.750 0.188 0.000 1
Li4 0.750 0.812 0.500 1
Ce1 0.000 0.276 0.481 1
Ce2 0.500 0.724 0.981 1
Tc1 0.000 0.689 0.019 1
Tc2 0.500 0.311 0.519 1
N1 0.000 0.352 0.961 1
N2 0.000 0.705 0.377 1
N3 0.207 0.826 0.898 1
N4 0.293 0.174 0.398 1
N5 0.500 0.295 0.877 1
N6 0.500 0.648 0.461 1
N7 0.707 0.174 0.398 1
N8 0.793 0.826 0.898 1
```

Calculated values
- DFT total energy (eV/atom) = -7.32
- ΔE_f (raw) (eV/atom) = -0.643
- DOS(E_F) (states/eV/f.u.) = 5.75


No. 3
Density functional theory data (GGA-PBE) for Li3Ce2TcN6 after structural relaxation.

```
data_Li3Ce2TcN6
_cell_length_a 5.871
_cell_length_b 5.871
_cell_length_c 5.296
_cell_angle_alpha 98.41
_cell_angle_beta 98.41
_cell_angle_gamma 121.89
_space_group_name_H-M_alt 'P 1'
_space_group_IT_number 1
loop_
_space_group_symop_operation_xyz
'x,y,z'
loop_
_atom_site_label
_atom_site_fract_x
_atom_site_fract_y
_atom_site_fract_z
_atom_site_occupancy
Li1 0.000 0.000 0.000 1
Li2 0.376 0.624 0.000 1
Li3 0.624 0.376 0.000 1
Ce1 0.168 0.832 0.500 1
Ce2 0.832 0.168 0.500 1
Tc1 0.500 0.500 0.500 1
N1 0.146 0.433 0.281 1
N2 0.255 0.255 0.721 1
N3 0.433 0.146 0.281 1
N4 0.567 0.854 0.719 1
N5 0.745 0.745 0.279 1
N6 0.854 0.567 0.719 1
```

Calculated values
- DFT total energy (eV/atom) = -7.10
- ΔE_f (raw) (eV/atom) = -0.610
- DOS(E_F) (states/eV/f.u.) = 0.90


No. 4
Density functional theory data (GGA-PBE) for Li3CeTe2N after structural relaxation.

```
data_Li3CeTe2N
_cell_length_a 8.142
_cell_length_b 8.142
_cell_length_c 8.142
_cell_angle_alpha 148.45
_cell_angle_beta 148.18
_cell_angle_gamma 45.42
_space_group_name_H-M_alt 'P 1'
_space_group_IT_number 1
loop_
_space_group_symop_operation_xyz
'x,y,z'
loop_
_atom_site_label
_atom_site_fract_x
_atom_site_fract_y
_atom_site_fract_z
_atom_site_occupancy
Li1 0.000 0.000 0.000 1
Li2 0.343 0.843 0.500 1
Li3 0.657 0.157 0.500 1
Ce1 0.500 0.500 0.000 1
Te1 0.147 0.647 0.500 1
Te2 0.853 0.353 0.500 1
N1 0.500 0.000 0.500 1
```

Calculated values
- DFT total energy (eV/atom) = -4.81
- ΔE_f (raw) (eV/atom) = -1.060


No. 5
Density functional theory data (GGA-PBE) for LiCe3Th2N6 after structural relaxation.

```
data_LiCe3Th2N6
_cell_length_a 7.887
_cell_length_b 7.887
_cell_length_c 7.218
_cell_angle_alpha 103.48
_cell_angle_beta 103.48
_cell_angle_gamma 26.57
_space_group_name_H-M_alt 'P 1'
_space_group_IT_number 1
loop_
_space_group_symop_operation_xyz
'x,y,z'
loop_
_atom_site_label
_atom_site_fract_x
_atom_site_fract_y
_atom_site_fract_z
_atom_site_occupancy
Li1 0.000 0.000 0.000 1
Ce1 0.000 0.000 0.500 1
Ce2 0.340 0.340 0.162 1
Ce3 0.660 0.660 0.838 1
Th1 0.337 0.337 0.677 1
Th2 0.663 0.663 0.323 1
N1 0.167 0.167 0.579 1
N2 0.170 0.170 0.084 1
N3 0.499 0.499 0.278 1
N4 0.501 0.501 0.722 1
N5 0.830 0.830 0.916 1
N6 0.833 0.833 0.421 1
```

Calculated values
- DFT total energy (eV/atom) = -8.40
- ΔE_f (raw) (eV/atom) = -1.356
- DOS(E_F) (states/eV/f.u.) = 9.32


No. 6
Density functional theory data (GGA-PBE) for LiCe2UN5 after structural relaxation.

```
data_LiCe2UN5
_cell_length_a 6.851
_cell_length_b 6.851
_cell_length_c 10.413
_cell_angle_alpha 90.00
_cell_angle_beta 90.00
_cell_angle_gamma 150.35
_space_group_name_H-M_alt 'P 1'
_space_group_IT_number 1
loop_
_space_group_symop_operation_xyz
'x,y,z'
loop_
_atom_site_label
_atom_site_fract_x
_atom_site_fract_y
_atom_site_fract_z
_atom_site_occupancy
Li1 0.014 0.986 0.500 1
Li2 0.986 0.014 0.000 1
Ce1 0.376 0.624 0.333 1
Ce2 0.396 0.604 0.705 1
Ce3 0.604 0.396 0.205 1
Ce4 0.624 0.376 0.833 1
U1 0.301 0.699 0.035 1
U2 0.699 0.301 0.535 1
N1 0.008 0.992 0.804 1
N2 0.143 0.857 0.037 1
N3 0.204 0.796 0.402 1
N4 0.219 0.781 0.672 1
N5 0.450 0.550 0.081 1
N6 0.550 0.450 0.581 1
N7 0.781 0.219 0.172 1
N8 0.796 0.204 0.902 1
N9 0.857 0.143 0.537 1
N10 0.992 0.008 0.304 1
```

Calculated values
- DFT total energy (eV/atom) = -8.55
- ΔE_f (raw) (eV/atom) = -1.137


No. 7
Density functional theory data (GGA-PBE) for LiCe3U3N8 after structural relaxation.

```
data_LiCe3U3N8
_cell_length_a 6.846
_cell_length_b 6.846
_cell_length_c 6.846
_cell_angle_alpha 59.83
_cell_angle_beta 59.83
_cell_angle_gamma 59.83
_space_group_name_H-M_alt 'P 1'
_space_group_IT_number 1
loop_
_space_group_symop_operation_xyz
'x,y,z'
loop_
_atom_site_label
_atom_site_fract_x
_atom_site_fract_y
_atom_site_fract_z
_atom_site_occupancy
Li1 0.000 0.000 0.000 1
Ce1 0.000 0.000 0.500 1
Ce2 0.000 0.500 0.000 1
Ce3 0.500 0.000 0.000 1
U1 0.000 0.500 0.500 1
U2 0.500 0.000 0.500 1
U3 0.500 0.500 0.000 1
N1 0.242 0.242 0.723 1
N2 0.242 0.723 0.242 1
N3 0.259 0.259 0.259 1
N4 0.277 0.758 0.758 1
N5 0.723 0.242 0.242 1
N6 0.741 0.741 0.741 1
N7 0.758 0.277 0.758 1
N8 0.758 0.758 0.277 1
```

Calculated values
- DFT total energy (eV/atom) = -9.14
- ΔE_f (raw) (eV/atom) = -1.128
- DOS(E_F) (states/eV/f.u.) = 16.77


No. 8
Density functional theory data (GGA-PBE) for LiCeU2N5 after structural relaxation.

```
data_LiCeU2N5
_cell_length_a 7.132
_cell_length_b 7.132
_cell_length_c 7.132
_cell_angle_alpha 126.83
_cell_angle_beta 126.83
_cell_angle_gamma 78.52
_space_group_name_H-M_alt 'P 1'
_space_group_IT_number 1
loop_
_space_group_symop_operation_xyz
'x,y,z'
loop_
_atom_site_label
_atom_site_fract_x
_atom_site_fract_y
_atom_site_fract_z
_atom_site_occupancy
Li1 0.250 0.750 0.500 1
Li2 0.750 0.250 0.500 1
Ce1 0.250 0.250 0.000 1
Ce2 0.750 0.750 0.000 1
U1 0.164 0.664 0.829 1
U2 0.336 0.164 0.500 1
U3 0.664 0.836 0.500 1
U4 0.836 0.336 0.171 1
N1 0.000 0.000 0.000 1
N2 0.033 0.209 0.500 1
N3 0.209 0.709 0.176 1
N4 0.291 0.467 0.500 1
N5 0.467 0.967 0.176 1
N6 0.500 0.500 0.000 1
N7 0.533 0.033 0.824 1
N8 0.709 0.533 0.500 1
N9 0.791 0.291 0.824 1
N10 0.967 0.791 0.500 1
```

Calculated values
- DFT total energy (eV/atom) = -9.18
- ΔE_f (raw) (eV/atom) = -1.175
- DOS(E_F) (states/eV/f.u.) = 10.88